SiHg2F8 | Alexandria via LeMat-Bulk | GGA-PBE | optimized geometry; space group = C2/m, No. 12; formation energy without anion corrections = -2.172 eV/atom
1.0
4.6675 -3.6498 0.0000
4.6675 3.6498 0.0000
-0.6472 0.0000 4.6434
Si Hg F
1 2 8
direct
0.0000 0.0000 0.0000
0.3512 0.3512 0.1990
0.6488 0.6488 0.8010
0.0611 0.7335 0.1368
0.1237 0.1237 0.3126
0.2665 0.9389 0.8632
0.4053 0.4053 0.7217
0.5947 0.5947 0.2783
0.7335 0.0611 0.1368
0.8763 0.8763 0.6874
0.9389 0.2665 0.8632

CsSr3Pd | Alexandria via LeMat-Bulk | GGA-PBE | optimized geometry; space group = R-3c, No. 167; formation energy from the elements = 0.177 eV/f.u.; ΔE to the lowest computed polymorph = 276 meV per atom
1.0
5.5993 3.2327 4.5756
-5.5993 3.2327 4.5756
0.0000 -6.4655 4.5756
Cs Sr Pd
2 6 2
direct
0.0000 0.0000 0.0000
0.5000 0.5000 0.5000
0.0172 0.7500 0.4828
0.2500 0.5172 0.9828
0.4828 0.0172 0.7500
0.5172 0.9828 0.2500
0.7500 0.4828 0.0172
0.9828 0.2500 0.5172
0.2500 0.2500 0.2500
0.7500 0.7500 0.7500

PmY6Co2 | Alexandria via LeMat-Bulk | GGA-PBE | optimized geometry; space group = Immm, No. 71; formation energy from the elements = -0.346 eV/f.u.
1.0
-4.7454 5.0023 5.1131
4.7454 -5.0023 5.1131
4.7454 5.0023 -5.1131
Pm Y Co
2 12 4
direct
0.0000 0.0000 0.0000
0.5000 0.0000 0.5000
0.0075 0.2281 0.7794
0.1919 0.4884 0.2965
0.1919 0.8955 0.7035
0.3063 0.3009 0.6071
0.3063 0.6991 0.0054
0.4486 0.2281 0.2206
0.5514 0.7719 0.7794
0.6937 0.3009 0.9946
0.6937 0.6991 0.3929
0.8081 0.1045 0.2965
0.8081 0.5116 0.7035
0.9925 0.7719 0.2206
0.1096 0.5000 0.6096
0.3873 0.3873 0.0000
0.6127 0.6127 0.0000
0.8904 0.5000 0.3904

CuOs2Se | Alexandria via LeMat-Bulk | GGA-PBE | optimized geometry; space group = P4mm, No. 99; formation energy without anion corrections = 0.446 eV/atom
1.0
2.8310 0.0000 0.0000
0.0000 2.8310 0.0000
0.0000 0.0000 7.7436
Cu Os Se
1 2 1
direct
0.0000 0.0000 0.0000
0.0000 0.0000 0.4506
0.5000 0.5000 0.2331
0.5000 0.5000 0.6996